Computed, not measured: crystalline Ce2Sc3Pt4 at its relaxed geometry at the PBE level of DFT.

Output
For the total magnetic moment, the calculation gives 3.5 Bohr magnetons per cell. For the formation energy, the calculation gives -106.6 kJ per mole of atoms.

```
data_Ce2Sc3Pt4
_chemical_formula_sum 'Ce4 Sc6 Pt8'
_symmetry_space_group_name_H-M 'P 1 21/c 1'
_symmetry_Int_Tables_number 14
_cell_length_a 7.291
_cell_length_b 7.398
_cell_length_c 7.614
_cell_angle_alpha 90.00
_cell_angle_beta 110.10
_cell_angle_gamma 90.00
loop_
_symmetry_equiv_pos_as_xyz
'x,y,z'
'-x,-y,-z'
'-x,y+1/2,-z+1/2'
'x,-y+1/2,z+1/2'
loop_
_atom_site_label
_atom_site_fract_x
_atom_site_fract_y
_atom_site_fract_z
Ce1 0.195 0.173 0.078
Sc1 0.251 0.661 0.248
Sc2 0.500 0.000 0.500
Pt1 0.090 0.545 0.860
Pt2 0.500 0.139 0.871
```